Below is a relaxed structure of CaTaCl, with properties calculated at the GGA-PBE level.

The calculation puts the energy relative to the elements, uncorrected at 0.810 eV/atom. Its crystal system is cubic. The calculation puts the excess energy over the best structure of this formula in the dataset at 4.86 eV/f.u.

It has space group F-43m (No. 216), with a = 6.404 Å, b = 6.404 Å, c = 6.404 Å, α = 90.00°, β = 90.00° and γ = 90.00°. The distinct sites, in fractional coordinates, are Ca at (0.000, 0.000, 0.000), Ta at (0.000, 0.000, 0.500) and Cl at (0.250, 0.250, 0.250).

***

Below is a relaxed structure of DyZrTlPd, with properties calculated at the GGA-PBE level.

For the energy of formation from the pure elements, the calculation gives -329 meV per atom. Its crystal system is cubic.

It has space group F-43m (No. 216), with a = 7.131 Å, b = 7.131 Å, c = 7.131 Å, α = 90.00°, β = 90.00° and γ = 90.00°. The distinct sites, in fractional coordinates, are Dy at (0.000, 0.000, 0.000), Zr at (0.000, 0.000, 0.500), Tl at (0.250, 0.250, 0.750) and Pd at (0.250, 0.250, 0.250).

***

Below is a relaxed structure of GeAuSe2Br, with properties calculated at the GGA-PBE level.

The calculation puts the energy relative to the elements, uncorrected at 0.510 eV/atom. Its crystal system is tetragonal. The calculation puts the excess energy over the best structure of this formula in the dataset at 0.24 eV/f.u.

It has space group P4/mmm (No. 123), with a = 5.042 Å, b = 5.042 Å, c = 5.156 Å, α = 90.00°, β = 90.00° and γ = 90.00°. The distinct sites, in fractional coordinates, are Ge at (0.000, 0.000, 0.000), Au at (0.500, 0.500, 0.500), Se at (0.000, 0.500, 0.000) and Br at (0.000, 0.000, 0.500).

***

no.,N(E_F) (states/eV per atom),electronic total energy (eV for the cell shown)
1,0.855,-53.084
2,1.112,-88.102
3,1.349,-13.987